[1]
CeSmAsO2 GGA-PBE optimized geometry; crystal system = tetragonal
1.0
3.881 0.000 0.000
0.000 3.881 0.000
-1.941 -1.941 6.208
Ce Sm As O
1 1 1 2
direct
0.849 0.849 0.698
0.150 0.150 0.300
0.496 0.496 0.992
0.753 0.253 0.505
0.253 0.753 0.505



[2]
SrCeAsO5 GGA-PBE optimized geometry; crystal system = monoclinic
1.0
6.175 -0.009 0.063
-1.811 5.904 0.063
-1.740 -2.351 7.320
Sr Ce As O
2 2 2 10
direct
0.334 0.666 0.250
0.666 0.334 0.750
0.000 0.000 0.500
0.000 0.000 0.000
0.676 0.324 0.250
0.324 0.676 0.750
0.094 0.906 0.250
0.906 0.094 0.750
0.894 0.336 0.136
0.106 0.664 0.864
0.664 0.106 0.364
0.336 0.894 0.636
0.725 0.593 0.409
0.275 0.407 0.591
0.407 0.275 0.091
0.593 0.725 0.909



[3]
TbCeAsO2 GGA-PBE optimized geometry; crystal system = tetragonal
1.0
-1.040 -1.439 -3.417
3.538 -1.446 -0.468
-3.018 -3.769 4.675
Tb Ce As O
1 1 1 2
direct
0.152 0.152 0.305
0.850 0.850 0.700
0.497 0.497 0.994
0.750 0.250 0.500
0.250 0.750 0.500



[4]
CeTcAsO GGA-PBE optimized geometry; crystal system = tetragonal
1.0
-0.051 -2.419 3.262
3.172 -2.061 -1.478
5.237 5.223 3.956
Ce Tc As O
2 2 2 2
direct
0.500 0.000 0.643
0.000 0.500 0.357
0.500 0.500 0.000
0.000 0.000 0.000
0.000 0.500 0.829
0.500 0.000 0.171
0.000 0.000 0.500
0.500 0.500 0.500



[5]
CeThAsO2 GGA-PBE optimized geometry; crystal system = tetragonal
1.0
3.918 0.000 0.000
0.000 3.918 0.000
-1.959 -1.959 6.252
Ce Th As O
1 1 1 2
direct
0.856 0.856 0.713
0.146 0.146 0.291
0.503 0.503 0.006
0.748 0.248 0.495
0.248 0.748 0.495



[6]
CeTiAsO GGA-PBE optimized geometry; crystal system = tetragonal
1.0
-3.569 -1.792 0.099
0.269 -0.315 3.974
-3.979 7.973 0.900
Ce Ti As O
2 2 2 2
direct
0.000 0.500 0.863
0.500 0.000 0.137
0.000 0.000 0.500
0.500 0.500 0.500
0.500 0.000 0.687
0.000 0.500 0.313
0.500 0.500 0.000
0.000 0.000 0.000



[7]
CeTl3As2O8 GGA-PBE optimized geometry; crystal system = trigonal
1.0
-3.035 3.245 -4.190
-1.398 -5.875 0.914
-5.393 2.151 5.572
Ce Tl As O
1 3 2 8
direct
0.000 0.000 0.500
0.333 0.667 0.728
0.667 0.333 0.272
0.000 0.000 0.000
0.333 0.667 0.248
0.667 0.333 0.752
0.333 0.667 0.038
0.667 0.333 0.962
0.180 0.820 0.325
0.820 0.180 0.675
0.180 0.359 0.325
0.820 0.641 0.675
0.641 0.820 0.325
0.359 0.180 0.675



[8]
CeTlAsO5 GGA-PBE optimized geometry; crystal system = monoclinic
1.0
-3.812 -5.065 -0.141
5.538 -2.023 2.334
-3.079 4.757 5.787
Ce Tl As O
2 2 2 10
direct
0.000 0.000 0.500
0.000 0.000 0.000
0.328 0.672 0.250
0.672 0.328 0.750
0.686 0.314 0.250
0.314 0.686 0.750
0.062 0.938 0.250
0.938 0.062 0.750
0.867 0.297 0.123
0.133 0.703 0.877
0.703 0.133 0.377
0.297 0.867 0.623
0.769 0.600 0.393
0.231 0.400 0.607
0.400 0.231 0.107
0.600 0.769 0.893



Going through the records in order, we get total energy values of -7.74; -7.07; -7.75; -8.25; -8.36; -7.87; -5.98; -6.71 eV/atom.
Going through the records in order, we get uncorrected formation energy values of -2.696; -2.439; -2.726; -1.770; -2.773; -2.015; -1.550; -1.997 eV per atom.